Compound: BaFeO3
Source: Alexandria
Functional: GGA+U
Structure: optimized geometry

- crystal system = hexagonal
- energy (eV per atom) = -6.34
- SG = P6_3/mmc (194)

abc: 5.747 5.747 14.090
angles: 90.00 90.00 120.00
Sites, in units of the cell vectors:
Ba 0.000 0.000 0.750
Ba 0.000 0.000 0.250
Ba 0.333 0.667 0.911
Ba 0.334 0.666 0.590
Ba 0.666 0.334 0.090
Ba 0.667 0.333 0.411
O 0.168 0.335 0.419
O 0.665 0.833 0.081
O 0.833 0.665 0.581
O 0.335 0.168 0.919
O 0.167 0.833 0.081
O 0.168 0.832 0.419
O 0.832 0.168 0.919
O 0.833 0.167 0.581
O 0.665 0.832 0.419
O 0.168 0.336 0.081
O 0.336 0.168 0.581
O 0.832 0.665 0.919
O 0.518 0.482 0.750
O 0.482 0.518 0.250
O 0.518 0.035 0.750
O 0.965 0.482 0.750
O 0.482 0.965 0.250
O 0.035 0.518 0.250
Fe 0.000 0.000 0.000
Fe 0.000 0.000 0.500
Fe 0.333 0.667 0.155
Fe 0.333 0.667 0.345
Fe 0.667 0.333 0.845
Fe 0.667 0.333 0.655